! LiCa3I, relaxed, DFT GGA-PBE; values from VASP
! DOS at the Fermi energy = 4.348 states/eV per cell
! excess energy over the best structure of this formula in the dataset = 0 meV/atom
! formation energy from raw total energies = -58 meV per atom
! space group = Pm-3m
&SYSTEM
  ibrav = 0, nat = 5, ntyp = 3
/
ATOMIC_SPECIES
I 126.90 I.upf
Ca 40.08 Ca.upf
Li 6.94 Li.upf
ATOMIC_POSITIONS crystal
I 0.500 0.500 0.500
Ca 0.000 0.500 0.000
Ca 0.000 0.000 0.500
Ca 0.500 0.000 0.000
Li 0.000 0.000 0.000
CELL_PARAMETERS angstrom
-0.264 3.751 4.527
-2.672 -4.113 3.252
5.237 -1.909 1.887